[1]
Below is a relaxed Fe3CuNi9 crystal, with properties calculated at the PBE-GGA level.

The calculation puts the energy relative to the elements at 2.49 eV/f.u. Its total magnetization is 13.59 μB per cell. Its space group is P1, No. 1. For the total DFT energy (no corrections), the calculation gives -79.026 eV/f.u.

Cell lengths 4.626, 8.061, 9.531 Å; angles 115.35, 104.28, 30.13 degrees
Site moments in Bohr magnetons follow the coordinates.
Positions (direct):
Ni 0.024 0.475 0.975  0.61
Cu 0.016 0.983 0.983  0.09
Fe 0.534 0.466 0.466  2.62
Ni 0.213 0.287 0.288  0.71
Fe 0.520 0.480 0.980  2.81
Ni 0.292 0.882 0.226  0.63
Ni 0.783 0.054 0.724  0.59
Ni 0.630 0.869 0.870  0.67
Fe 0.527 0.973 0.473  2.61
Ni 0.907 0.593 0.592  0.71
Ni 0.257 0.570 0.226  0.63
Ni 0.027 0.973 0.473  0.72
Ni 0.769 0.395 0.724  0.59

[2]
Below is a relaxed Fe5Cu2Ni5 crystal, with properties calculated at the PBE-GGA level.

The calculation puts the energy relative to the elements at 0.07 eV/f.u. Its total magnetization is 16.52 μB per cell. Its space group is C2/m, No. 12. For the total DFT energy (no corrections), the calculation gives -79.338 eV/f.u.

Cell lengths 3.548, 7.650, 5.641 Å; angles 98.47, 71.67, 76.59 degrees
Site moments in Bohr magnetons follow the coordinates.
Positions (direct):
Ni 0.000 0.500 0.500  0.70
Fe 0.996 0.755 0.252  2.71
Fe 0.000 0.000 0.000  2.53
Ni 0.665 0.753 0.917  0.65
Cu 0.666 0.500 0.168  0.11
Ni 0.334 0.999 0.333  0.64
Cu 0.334 0.500 0.832  0.11
Ni 0.335 0.247 0.083  0.65
Fe 0.328 0.754 0.589  2.70
Fe 0.672 0.246 0.411  2.70
Fe 0.004 0.245 0.748  2.71
Ni 0.666 0.001 0.667  0.64

[3]
Below is a relaxed FeCuNi crystal, with properties calculated at the PBE-GGA level.

The calculation puts the energy relative to the elements at 0.12 eV/f.u. Its total magnetization is 3.18 μB per cell. Its space group is I4mm, No. 107. The value obtained for the energy above the most stable polymorph in this dataset is 0.041 eV/atom. For the total DFT energy (no corrections), the calculation gives -18.220 eV/f.u.

Cell lengths 5.680, 5.680, 5.680 Å; angles 154.23, 154.23, 36.77 degrees
Site moments in Bohr magnetons follow the coordinates.
Positions (direct):
Ni 0.669 0.669 0.000  0.52
Fe 0.329 0.329 0.000  2.65
Cu 0.002 0.002 0.000  0.08

[4]
Below is a relaxed FeCuNi3 crystal, with properties calculated at the PBE-GGA level.

The calculation puts the energy relative to the elements at -0.07 eV/f.u. Its total magnetization is 8.68 μB per cell. Its space group is P2_1/m, No. 11. The value obtained for the energy above the most stable polymorph in this dataset is 0.000 eV/atom. For the total DFT energy (no corrections), the calculation gives -29.968 eV/f.u.

Cell lengths 4.089, 4.387, 6.641 Å; angles 109.37, 90.00, 90.00 degrees
Site moments in Bohr magnetons follow the coordinates.
Positions (direct):
Ni 0.683 0.196 0.902  0.57
Cu 0.183 0.467 0.103  0.05
Fe 0.183 0.864 0.898  2.80
Ni 0.683 0.593 0.703  0.56
Ni 0.683 0.797 0.102  0.51
Fe 0.683 0.997 0.508  2.80
Ni 0.183 0.664 0.505  0.57
Cu 0.683 0.394 0.303  0.05
Ni 0.183 0.267 0.703  0.56
Ni 0.183 0.064 0.304  0.51